Material: TmScIrRu
Method: DFT, PBE
State: optimized geometry

It has space group P4mm (No. 99), with a = 3.2909 Å, b = 3.2909 Å, c = 6.5836 Å, α = 90.00°, β = 90.00° and γ = 90.00°. The distinct sites, in fractional coordinates, are Tm at (0.0000, 0.0000, 0.0000), Sc at (0.0000, 0.0000, 0.4892), Ir at (0.5000, 0.5000, 0.7341) and Ru at (0.5000, 0.5000, 0.2567).

As for the energy of formation: -0.74 eV per atom. The calculation puts the density of states at the Fermi level at 1.72 states/eV per cell. The calculation puts the volume at 17.83 Å³ per atom. The value obtained for the density is 11.81 Mg/m³.